Record 1
LaTmGa2Rh2: optimized geometry, PBE.

## Properties
The size of the total moment comes out at 0.00 μB/f.u. For the energy of formation, the calculation gives -5.0 eV per formula unit. The calculation puts the density of states at the Fermi level at 4.2 states/eV/f.u. The calculation puts the raw total energy at -0.21517 Ha/atom.

Cell: 4.4426 4.4426 7.2328 Å, 90.00 90.00 120.00°
Space group P-3m1 (No. 164)
Unique sites:
La 0.0000 0.0000 0.0000
Tm 0.0000 0.0000 0.5000
Ga 0.3333 0.6667 0.2835
Rh 0.3333 0.6667 0.6995

---

Record 2
La2TmGa3Rh4: optimized geometry, PBE.

## Properties
The size of the total moment comes out at 0.00 μB/f.u. For the energy of formation, the calculation gives -8.3 eV per formula unit. The calculation puts the density of states at the Fermi level at 6.4 states/eV/f.u. The calculation puts the raw total energy at -0.22465 Ha/atom.

Cell: 4.316 4.316 10.917 Å, 90.00 90.00 90.00°
Space group P-4m2 (No. 115)
Unique sites:
La 0.000 0.500 0.225
Tm 0.000 0.000 0.500
Ga 0.000 0.500 0.884
Ga 0.500 0.500 0.500
Rh 0.000 0.000 0.000
Rh 0.000 0.500 0.651
Rh 0.500 0.500 0.000

---

Record 3
LaYGaRh2: optimized geometry, PBE.

## Properties
The size of the total moment comes out at 0.00 μB/f.u. For the energy of formation, the calculation gives 1.9 eV per formula unit. The calculation puts the density of states at the Fermi level at 4.3 states/eV/f.u. The calculation puts the raw total energy at -0.20003 Ha/atom.

Cell: 4.886 4.886 5.549 Å, 90.00 90.00 90.00°
Space group P4/mmm (No. 123)
Unique sites:
La 0.000 0.000 0.000
Y 0.500 0.500 0.500
Ga 0.000 0.000 0.500
Rh 0.000 0.500 0.000

---

Record 4
LaYGaRh: optimized geometry, PBE.

## Properties
The size of the total moment comes out at 0.00 μB/f.u. For the energy of formation, the calculation gives -2.8 eV per formula unit. The calculation puts the density of states at the Fermi level at 3.7 states/eV/f.u. The calculation puts the raw total energy at -0.22545 Ha/atom.

Cell: 4.356 4.362 10.277 Å, 90.00 90.00 90.00°
Space group Amm2 (No. 38)
Unique sites:
La 0.000 0.000 0.000
Y 0.500 0.000 0.291
Ga 0.500 0.000 0.592
Rh 0.000 0.000 0.740

---

Record 5
La2Zn2GaRh5: optimized geometry, PBE.

## Properties
The size of the total moment comes out at 0.00 μB/f.u. For the energy of formation, the calculation gives -5.7 eV per formula unit. The calculation puts the density of states at the Fermi level at 5.1 states/eV/f.u. The calculation puts the raw total energy at -0.21285 Ha/atom.

Cell: 9.882 9.882 3.605 Å, 90.00 90.00 90.00°
Space group P4/mbm (No. 127)
Unique sites:
La 0.175 0.325 0.000
Zn 0.124 0.624 0.000
Ga 0.000 0.000 0.000
Rh 0.000 0.500 0.500
Rh 0.061 0.800 0.500

---

Record 6
LaZn2GaRh2: optimized geometry, PBE.

## Properties
The size of the total moment comes out at 0.00 μB/f.u. For the energy of formation, the calculation gives -1.7 eV per formula unit. The calculation puts the density of states at the Fermi level at 6.4 states/eV/f.u. The calculation puts the raw total energy at -0.16476 Ha/atom.

Cell: 4.587 4.587 5.819 Å, 90.00 90.00 90.00°
Space group P4/mmm (No. 123)
Unique sites:
La 0.000 0.000 0.000
Zn 0.500 0.500 0.245
Ga 0.000 0.000 0.500
Rh 0.000 0.500 0.500

---

Record 7
La2ZnGa4Rh3: optimized geometry, PBE.

## Properties
The size of the total moment comes out at 0.00 μB/f.u. For the energy of formation, the calculation gives -7.1 eV per formula unit. The calculation puts the density of states at the Fermi level at 7.0 states/eV/f.u. The calculation puts the raw total energy at -0.19238 Ha/atom.

Cell: 4.349 4.349 10.279 Å, 90.00 90.00 90.00°
Space group P-4m2 (No. 115)
Unique sites:
La 0.000 0.500 0.247
Zn 0.500 0.500 0.000
Ga 0.000 0.000 0.500
Ga 0.000 0.500 0.870
Ga 0.500 0.500 0.500
Rh 0.000 0.000 0.000
Rh 0.000 0.500 0.626

---

Record 8
LaZnGaRh2: optimized geometry, PBE.

## Properties
The size of the total moment comes out at 0.00 μB/f.u. For the energy of formation, the calculation gives -2.4 eV per formula unit. The calculation puts the density of states at the Fermi level at 1.9 states/eV/f.u. The calculation puts the raw total energy at -0.19353 Ha/atom.

Cell: 5.397 13.025 5.493 Å, 90.00 90.00 90.00°
Space group Cmme (No. 67)
Unique sites:
La 0.000 0.250 0.232
Zn 0.000 0.000 0.000
Ga 0.250 0.000 0.500
Rh 0.000 0.143 0.700